Density functional theory data (GGA-PBE) for ErTmCdPb after structural relaxation.

DFT formation energy (eV per atom): -0.343
Energy relative to the lowest polymorph listed for this composition (eV/atom): 0.0000

Unit cell a=4.9099 b=4.9099 c=8.7029 alpha=90.00 beta=90.00 gamma=90.00
Last column: nearest neighbours and their distance in Å.
Space group I-4m2 (No. 119)
Inequivalent atoms, fractional coordinates:
Er 0.0000 0.0000 0.0000 (multiplicity 2)  4 Cd 3.28, 4 Pb 3.28, 4 Tm 3.47
Tm 0.0000 0.0000 0.5000 (multiplicity 2)  4 Cd 3.28, 4 Pb 3.28, 4 Er 3.47
Cd 0.0000 0.5000 0.2500 (multiplicity 2)  4 Er 3.28, 4 Tm 3.28, 4 Pb 3.47
Pb 0.0000 0.5000 0.7500 (multiplicity 2)  4 Er 3.28, 4 Tm 3.28, 4 Cd 3.47



Density functional theory data (GGA-PBE) for MgTeAs2 after structural relaxation.

Energy relative to the lowest polymorph listed for this composition (eV/atom): 0.1085
E_form (uncorrected) (eV/atom): -0.139

Unit cell a=5.7814 b=5.7814 c=5.6773 alpha=90.00 beta=90.00 gamma=90.00
Last column: nearest neighbours and their distance in Å.
Space group I4/mmm (No. 139)
Inequivalent atoms, fractional coordinates:
Mg 0.0000 0.0000 0.0000 (multiplicity 2)  2 Te 2.84, 4 As 2.89
Te 0.0000 0.0000 0.5000 (multiplicity 2)  2 Mg 2.84, 4 As 2.89
As 0.0000 0.5000 0.0000 (multiplicity 4)  2 As 2.84, 2 Te 2.89, 2 Mg 2.89



Number 1: uncorrected energy -30.1 eV/cell. Number 2: uncorrected energy -29.2 eV/cell.